The following is a GGA-PBE calculation of a geometry-optimized SmGdBi2 structure, from the Alexandria database.

CIF file:
```
data_SmGdBi2
_chemical_formula_sum 'Sm1 Gd1 Bi2'
_cell_length_a 3.833
_cell_length_b 3.833
_cell_length_c 8.221
_cell_angle_alpha 90.00
_cell_angle_beta 90.00
_cell_angle_gamma 90.00
_space_group_name_H-M_alt 'P 1'
_space_group_IT_number 1
loop_
_space_group_symop_operation_xyz
'x,y,z'
loop_
_atom_site_label
_atom_site_fract_x
_atom_site_fract_y
_atom_site_fract_z
Bi1 0.000 0.000 0.748
Bi2 0.000 0.000 0.252
Gd1 0.500 0.500 0.500
Sm1 0.500 0.500 0.000
```

Output
Spin magnetization   7.60 Bohr magnetons per cell
Energy of formation   -0.679 eV/atom

***

The following is a GGA-PBE calculation of a geometry-optimized SmGdBi structure, from the Alexandria database.

CIF file:
```
data_SmGdBi
_chemical_formula_sum 'Sm1 Gd1 Bi1'
_cell_length_a 3.402
_cell_length_b 3.402
_cell_length_c 9.359
_cell_angle_alpha 100.47
_cell_angle_beta 100.47
_cell_angle_gamma 90.00
_space_group_name_H-M_alt 'P 1'
_space_group_IT_number 1
loop_
_space_group_symop_operation_xyz
'x,y,z'
loop_
_atom_site_label
_atom_site_fract_x
_atom_site_fract_y
_atom_site_fract_z
Sm1 0.763 0.763 0.526
Gd1 0.955 0.955 0.910
Bi1 0.132 0.132 0.264
```

Output
Spin magnetization   8.41 Bohr magnetons per cell
Energy of formation   0.076 eV/atom

***

The following is a GGA-PBE calculation of a geometry-optimized SmGd2Bi structure, from the Alexandria database.

CIF file:
```
data_SmGd2Bi
_chemical_formula_sum 'Sm1 Gd2 Bi1'
_cell_length_a 4.976
_cell_length_b 4.904
_cell_length_c 4.904
_cell_angle_alpha 90.00
_cell_angle_beta 90.00
_cell_angle_gamma 90.00
_space_group_name_H-M_alt 'P 1'
_space_group_IT_number 1
loop_
_space_group_symop_operation_xyz
'x,y,z'
loop_
_atom_site_label
_atom_site_fract_x
_atom_site_fract_y
_atom_site_fract_z
Gd1 0.000 0.500 0.000
Gd2 0.000 0.000 0.500
Sm1 0.500 0.500 0.500
Bi1 0.500 0.000 0.000
```

Output
Spin magnetization   15.08 Bohr magnetons per cell
Energy of formation   -0.405 eV/atom

***

The following is a GGA-PBE calculation of a geometry-optimized SmGdBi2 structure, from the Alexandria database.

CIF file:
```
data_SmGdBi2
_chemical_formula_sum 'Sm1 Gd1 Bi2'
_cell_length_a 3.460
_cell_length_b 5.892
_cell_length_c 5.892
_cell_angle_alpha 90.00
_cell_angle_beta 90.00
_cell_angle_gamma 90.00
_space_group_name_H-M_alt 'P 1'
_space_group_IT_number 1
loop_
_space_group_symop_operation_xyz
'x,y,z'
loop_
_atom_site_label
_atom_site_fract_x
_atom_site_fract_y
_atom_site_fract_z
Bi1 0.000 0.500 0.000
Bi2 0.000 0.000 0.500
Sm1 0.500 0.000 0.000
Gd1 0.500 0.500 0.500
```

Output
Spin magnetization   7.27 Bohr magnetons per cell
Energy of formation   -0.717 eV/atom

***

The following is a GGA-PBE calculation of a geometry-optimized SmGdBiTe structure, from the Alexandria database.

CIF file:
```
data_SmGdBiTe
_chemical_formula_sum 'Sm1 Gd1 Bi1 Te1'
_cell_length_a 5.493
_cell_length_b 5.493
_cell_length_c 5.493
_cell_angle_alpha 60.00
_cell_angle_beta 60.00
_cell_angle_gamma 60.00
_space_group_name_H-M_alt 'P 1'
_space_group_IT_number 1
loop_
_space_group_symop_operation_xyz
'x,y,z'
loop_
_atom_site_label
_atom_site_fract_x
_atom_site_fract_y
_atom_site_fract_z
Gd1 0.250 0.250 0.250
Bi1 0.500 0.500 0.500
Te1 0.000 0.000 0.000
Sm1 0.750 0.750 0.750
```

Output
Raw formation energy   -963 meV per atom
Spin magnetization   7.94 Bohr magnetons per cell

***

The following is a GGA-PBE calculation of a geometry-optimized SmGdTlBi structure, from the Alexandria database.

CIF file:
```
data_SmGdTlBi
_chemical_formula_sum 'Sm1 Gd1 Tl1 Bi1'
_cell_length_a 5.507
_cell_length_b 5.507
_cell_length_c 5.507
_cell_angle_alpha 60.00
_cell_angle_beta 60.00
_cell_angle_gamma 60.00
_space_group_name_H-M_alt 'P 1'
_space_group_IT_number 1
loop_
_space_group_symop_operation_xyz
'x,y,z'
loop_
_atom_site_label
_atom_site_fract_x
_atom_site_fract_y
_atom_site_fract_z
Gd1 0.250 0.250 0.250
Tl1 0.000 0.000 0.000
Bi1 0.500 0.500 0.500
Sm1 0.750 0.750 0.750
```

Output
Spin magnetization   7.55 Bohr magnetons per cell
Energy of formation   -0.462 eV/atom

***

The following is a GGA-PBE calculation of a geometry-optimized SmGdZnBi structure, from the Alexandria database.

CIF file:
```
data_SmGdZnBi
_chemical_formula_sum 'Sm1 Gd1 Zn1 Bi1'
_cell_length_a 5.360
_cell_length_b 5.360
_cell_length_c 5.360
_cell_angle_alpha 60.00
_cell_angle_beta 60.00
_cell_angle_gamma 60.00
_space_group_name_H-M_alt 'P 1'
_space_group_IT_number 1
loop_
_space_group_symop_operation_xyz
'x,y,z'
loop_
_atom_site_label
_atom_site_fract_x
_atom_site_fract_y
_atom_site_fract_z
Sm1 0.250 0.250 0.250
Bi1 0.500 0.500 0.500
Zn1 0.000 0.000 0.000
Gd1 0.750 0.750 0.750
```

Output
Spin magnetization   7.40 Bohr magnetons per cell
Energy of formation   -0.444 eV/atom

***

The following is a GGA-PBE calculation of a geometry-optimized GdSn4Bi structure, from the Alexandria database.

CIF file:
```
data_GdSn4Bi
_chemical_formula_sum 'Gd1 Sn4 Bi1'
_cell_length_a 6.211
_cell_length_b 6.211
_cell_length_c 6.211
_cell_angle_alpha 60.00
_cell_angle_beta 60.00
_cell_angle_gamma 60.00
_space_group_name_H-M_alt 'P 1'
_space_group_IT_number 1
loop_
_space_group_symop_operation_xyz
'x,y,z'
loop_
_atom_site_label
_atom_site_fract_x
_atom_site_fract_y
_atom_site_fract_z
Sn1 0.625 0.124 0.625
Sn2 0.625 0.625 0.625
Sn3 0.124 0.625 0.625
Sn4 0.625 0.625 0.124
Gd1 0.000 0.000 0.000
Bi1 0.250 0.250 0.250
```

Output
Spin magnetization   7.03 Bohr magnetons per cell
Energy of formation   -0.146 eV/atom

***

The following is a GGA-PBE calculation of a geometry-optimized SrGdBi2 structure, from the Alexandria database.

CIF file:
```
data_SrGdBi2
_chemical_formula_sum 'Sr1 Gd1 Bi2'
_cell_length_a 4.578
_cell_length_b 4.578
_cell_length_c 8.421
_cell_angle_alpha 74.23
_cell_angle_beta 74.23
_cell_angle_gamma 60.00
_space_group_name_H-M_alt 'P 1'
_space_group_IT_number 1
loop_
_space_group_symop_operation_xyz
'x,y,z'
loop_
_atom_site_label
_atom_site_fract_x
_atom_site_fract_y
_atom_site_fract_z
Gd1 0.000 0.000 0.000
Bi1 0.743 0.743 0.772
Bi2 0.257 0.257 0.228
Sr1 0.500 0.500 0.500
```

Output
Spin magnetization   6.79 Bohr magnetons per cell
Energy of formation   -0.780 eV/atom

***

The following is a GGA-PBE calculation of a geometry-optimized SrGdBi2 structure, from the Alexandria database.

CIF file:
```
data_SrGdBi2
_chemical_formula_sum 'Sr1 Gd1 Bi2'
_cell_length_a 3.547
_cell_length_b 6.043
_cell_length_c 6.043
_cell_angle_alpha 90.00
_cell_angle_beta 90.00
_cell_angle_gamma 90.00
_space_group_name_H-M_alt 'P 1'
_space_group_IT_number 1
loop_
_space_group_symop_operation_xyz
'x,y,z'
loop_
_atom_site_label
_atom_site_fract_x
_atom_site_fract_y
_atom_site_fract_z
Bi1 0.000 0.500 0.000
Bi2 0.000 0.000 0.500
Sr1 0.500 0.500 0.500
Gd1 0.500 0.000 0.000
```

Output
Spin magnetization   7.31 Bohr magnetons per cell
Energy of formation   -0.716 eV/atom

***

The following is a GGA-PBE calculation of a geometry-optimized SrGdBi2 structure, from the Alexandria database.

CIF file:
```
data_SrGdBi2
_chemical_formula_sum 'Sr1 Gd1 Bi2'
_cell_length_a 5.704
_cell_length_b 5.704
_cell_length_c 5.704
_cell_angle_alpha 60.00
_cell_angle_beta 60.00
_cell_angle_gamma 60.00
_space_group_name_H-M_alt 'P 1'
_space_group_IT_number 1
loop_
_space_group_symop_operation_xyz
'x,y,z'
loop_
_atom_site_label
_atom_site_fract_x
_atom_site_fract_y
_atom_site_fract_z
Bi1 0.750 0.750 0.750
Bi2 0.250 0.250 0.250
Gd1 0.000 0.000 0.000
Sr1 0.500 0.500 0.500
```

Output
Spin magnetization   7.01 Bohr magnetons per cell
Energy of formation   -0.679 eV/atom

***

The following is a GGA-PBE calculation of a geometry-optimized SrGdBi2 structure, from the Alexandria database.

CIF file:
```
data_SrGdBi2
_chemical_formula_sum 'Sr1 Gd1 Bi2'
_cell_length_a 3.895
_cell_length_b 3.895
_cell_length_c 8.618
_cell_angle_alpha 90.00
_cell_angle_beta 90.00
_cell_angle_gamma 90.00
_space_group_name_H-M_alt 'P 1'
_space_group_IT_number 1
loop_
_space_group_symop_operation_xyz
'x,y,z'
loop_
_atom_site_label
_atom_site_fract_x
_atom_site_fract_y
_atom_site_fract_z
Bi1 0.000 0.000 0.767
Bi2 0.000 0.000 0.233
Sr1 0.500 0.500 0.500
Gd1 0.500 0.500 0.000
```

Output
Spin magnetization   7.25 Bohr magnetons per cell
Energy of formation   -0.726 eV/atom